Record 1
! FeNi2Mo meta-GGA SCAN single point on PBEsol structure; values from VASP
&SYSTEM
  ibrav = 0, nat = 4, ntyp = 3
/
ATOMIC_SPECIES
Fe 55.84 Fe.upf
Ni 58.69 Ni.upf
Mo 95.94 Mo.upf
CELL_PARAMETERS angstrom
2.5451 0.0000 0.0000
0.0000 2.5451 0.0000
0.0000 0.0000 7.2407
ATOMIC_POSITIONS angstrom
Fe 0.0000 0.0000 0.0000
Ni 0.0000 0.0000 3.9012
Ni 1.2726 1.2726 5.5990
Mo 1.2726 1.2726 2.0220
! Uncorrected energy: -21.31 eV/atom
! ΔE to the lowest computed polymorph: 79 meV per atom
! Calculated formation energy: 34 meV per atom
! Magnetic moment: 3.65 μB/cell



Record 2
! Fe2NiMo meta-GGA SCAN single point on PBEsol structure; values from VASP
&SYSTEM
  ibrav = 0, nat = 8, ntyp = 3
/
ATOMIC_SPECIES
Fe 55.84 Fe.upf
Ni 58.69 Ni.upf
Mo 95.94 Mo.upf
CELL_PARAMETERS angstrom
3.5965 0.0000 0.0000
0.0000 3.5965 0.0000
0.0000 0.0000 7.1311
ATOMIC_POSITIONS angstrom
Fe 0.0000 1.7983 1.7828
Fe 0.0000 1.7983 5.3483
Fe 1.7983 0.0000 1.7828
Fe 1.7983 0.0000 5.3483
Ni 0.0000 0.0000 0.0000
Ni 1.7983 1.7983 3.5656
Mo 0.0000 0.0000 3.5656
Mo 1.7983 1.7983 0.0000
! Uncorrected energy: -21.72 eV/atom
! Calculated formation energy: 107 meV per atom
! Magnetic moment: 6.48 μB/cell



Record 3
! Fe4NiMo meta-GGA SCAN single point on PBEsol structure; values from VASP
&SYSTEM
  ibrav = 0, nat = 6, ntyp = 3
/
ATOMIC_SPECIES
Fe 55.84 Fe.upf
Ni 58.69 Ni.upf
Mo 95.94 Mo.upf
CELL_PARAMETERS angstrom
0.0000 3.2373 3.2373
3.2373 0.0000 3.2373
3.2373 3.2373 0.0000
ATOMIC_POSITIONS angstrom
Fe 0.8029 0.8029 0.8029
Fe 2.4344 2.4344 0.8029
Fe 2.4344 0.8029 2.4344
Fe 0.8029 2.4344 2.4344
Ni 4.8559 4.8559 4.8559
Mo 3.2373 3.2373 3.2373
! Uncorrected energy: -20.49 eV/atom
! Calculated formation energy: 107 meV per atom
! Magnetic moment: 6.77 μB/cell



Number 3 is which compound?
Fe4NiMo



The highest magnetic moment belongs to which entry?
Fe4NiMo



Look up the uncorrected energy of the first one.
-21.31 eV/atom



Copy entry 1 word for word.
! FeNi2Mo meta-GGA SCAN single point on PBEsol structure; values from VASP
&SYSTEM
  ibrav = 0, nat = 4, ntyp = 3
/
ATOMIC_SPECIES
Fe 55.84 Fe.upf
Ni 58.69 Ni.upf
Mo 95.94 Mo.upf
CELL_PARAMETERS angstrom
2.5451 0.0000 0.0000
0.0000 2.5451 0.0000
0.0000 0.0000 7.2407
ATOMIC_POSITIONS angstrom
Fe 0.0000 0.0000 0.0000
Ni 0.0000 0.0000 3.9012
Ni 1.2726 1.2726 5.5990
Mo 1.2726 1.2726 2.0220
! Uncorrected energy: -21.31 eV/atom
! ΔE to the lowest computed polymorph: 79 meV per atom
! Calculated formation energy: 34 meV per atom
! Magnetic moment: 3.65 μB/cell